No. 1
Below is a geometry-optimized Mn3In structure, with properties calculated at the PBE-GGA level.

Computed properties:
The crystal system is orthorhombic. The energy relative to the elements is 0.406 eV/atom. The value obtained for the total energy is -7.16 eV per atom. The spin magnetization comes out at 9.38 μB/cell.

Structure (CIF):
```
data_Mn3In
_chemical_formula_sum 'Mn3 In1'
_cell_length_a 4.6549
_cell_length_b 4.6549
_cell_length_c 2.9385
_cell_angle_alpha 90.00
_cell_angle_beta 90.00
_cell_angle_gamma 102.79
_symmetry_space_group_name_H-M 'P 1'
_symmetry_Int_Tables_number 1
loop_
_symmetry_equiv_pos_as_xyz
'x,y,z'
loop_
_atom_site_label
_atom_site_type_symbol
_atom_site_fract_x
_atom_site_fract_y
_atom_site_fract_z
Mn1 Mn 0.0000 0.0000 0.0000
Mn2 Mn 0.0000 0.5000 0.5000
Mn3 Mn 0.5000 0.0000 0.5000
In1 In 0.5000 0.5000 0.0000
```

No. 2
Below is a geometry-optimized Mn3In structure, with properties calculated at the PBE-GGA level.

Computed properties:
The crystal system is monoclinic. The energy relative to the elements is 0.403 eV/atom. The value obtained for the total energy is -7.16 eV per atom. The spin magnetization comes out at 7.26 μB/cell.

Structure (CIF):
```
data_Mn3In
_chemical_formula_sum 'Mn3 In1'
_cell_length_a 2.7417
_cell_length_b 4.1545
_cell_length_c 5.3018
_cell_angle_alpha 90.00
_cell_angle_beta 102.43
_cell_angle_gamma 90.00
_symmetry_space_group_name_H-M 'P 1'
_symmetry_Int_Tables_number 1
loop_
_symmetry_equiv_pos_as_xyz
'x,y,z'
loop_
_atom_site_label
_atom_site_type_symbol
_atom_site_fract_x
_atom_site_fract_y
_atom_site_fract_z
Mn1 Mn 0.0000 0.0000 0.0000
Mn2 Mn 0.1878 0.5000 0.7862
Mn3 Mn 0.8122 0.5000 0.2138
In1 In 0.5000 0.0000 0.5000
```

No. 3
Below is a geometry-optimized Mn2In structure, with properties calculated at the PBE-GGA level.

Computed properties:
The crystal system is tetragonal. The energy relative to the elements is 0.582 eV/atom. The value obtained for the total energy is -6.44 eV per atom. The spin magnetization comes out at 4.24 μB/cell.

Structure (CIF):
```
data_Mn2In
_chemical_formula_sum 'Mn4 In2'
_cell_length_a 7.2479
_cell_length_b 7.2479
_cell_length_c 7.2479
_cell_angle_alpha 149.97
_cell_angle_beta 149.97
_cell_angle_gamma 42.99
_symmetry_space_group_name_H-M 'P 1'
_symmetry_Int_Tables_number 1
loop_
_symmetry_equiv_pos_as_xyz
'x,y,z'
loop_
_atom_site_label
_atom_site_type_symbol
_atom_site_fract_x
_atom_site_fract_y
_atom_site_fract_z
Mn1 Mn 0.2929 0.5429 0.7500
Mn2 Mn 0.4571 0.7071 0.7500
Mn3 Mn 0.5429 0.2929 0.2500
Mn4 Mn 0.7071 0.4571 0.2500
In1 In 0.1250 0.8750 0.2500
In2 In 0.8750 0.1250 0.7500
```

No. 4
Below is a geometry-optimized MnIn3 structure, with properties calculated at the PBE-GGA level.

Computed properties:
The crystal system is orthorhombic. The energy relative to the elements is 0.263 eV/atom. The value obtained for the total energy is -4.08 eV per atom. The spin magnetization comes out at 3.79 μB/cell.

Structure (CIF):
```
data_MnIn3
_chemical_formula_sum 'Mn1 In3'
_cell_length_a 3.2047
_cell_length_b 4.9650
_cell_length_c 5.7525
_cell_angle_alpha 90.00
_cell_angle_beta 90.00
_cell_angle_gamma 90.00
_symmetry_space_group_name_H-M 'P 1'
_symmetry_Int_Tables_number 1
loop_
_symmetry_equiv_pos_as_xyz
'x,y,z'
loop_
_atom_site_label
_atom_site_type_symbol
_atom_site_fract_x
_atom_site_fract_y
_atom_site_fract_z
Mn1 Mn 0.0000 0.0000 0.0000
In1 In 0.0000 0.5000 0.6769
In2 In 0.5000 0.0000 0.4863
In3 In 0.5000 0.5000 0.1446
```

Please write out number 3 again, unchanged.
Below is a geometry-optimized Mn2In structure, with properties calculated at the PBE-GGA level.

Computed properties:
The crystal system is tetragonal. The energy relative to the elements is 0.582 eV/atom. The value obtained for the total energy is -6.44 eV per atom. The spin magnetization comes out at 4.24 μB/cell.

Structure (CIF):
```
data_Mn2In
_chemical_formula_sum 'Mn4 In2'
_cell_length_a 7.2479
_cell_length_b 7.2479
_cell_length_c 7.2479
_cell_angle_alpha 149.97
_cell_angle_beta 149.97
_cell_angle_gamma 42.99
_symmetry_space_group_name_H-M 'P 1'
_symmetry_Int_Tables_number 1
loop_
_symmetry_equiv_pos_as_xyz
'x,y,z'
loop_
_atom_site_label
_atom_site_type_symbol
_atom_site_fract_x
_atom_site_fract_y
_atom_site_fract_z
Mn1 Mn 0.2929 0.5429 0.7500
Mn2 Mn 0.4571 0.7071 0.7500
Mn3 Mn 0.5429 0.2929 0.2500
Mn4 Mn 0.7071 0.4571 0.2500
In1 In 0.1250 0.8750 0.2500
In2 In 0.8750 0.1250 0.7500
```

> Look up the energy relative to the elements of the third one.

0.582 eV/atom

> What is the formula in the third record?

Mn2In